## w
PuTh2Te4: relaxed, PBE.

Summary:
theoretical density	8.43	g/cm³
space-group type	Cmcm (63)
N(E_F)	38.09	states/eV/cell

CIF file:
```
data_PuTh2Te4
_cell_length_a 4.320
_cell_length_b 7.497
_cell_length_c 15.482
_cell_angle_alpha 90.00
_cell_angle_beta 90.00
_cell_angle_gamma 106.75
_symmetry_space_group_name_H-M 'P 1'
_symmetry_Int_Tables_number 1
loop_
_symmetry_equiv_pos_as_xyz
'x,y,z'
loop_
_atom_site_label
_atom_site_type_symbol
_atom_site_fract_x
_atom_site_fract_y
_atom_site_fract_z
_atom_site_occupancy
Te1 Te 0.500 0.000 0.500 1
Te2 Te 0.216 0.432 0.632 1
Te3 Te 0.784 0.568 0.368 1
Th1 Th 0.858 0.715 0.937 1
Te4 Te 0.216 0.432 0.868 1
Te5 Te 0.054 0.108 0.250 1
Te6 Te 0.500 0.000 0.000 1
Te7 Te 0.946 0.892 0.750 1
Te8 Te 0.784 0.568 0.132 1
Pu1 Pu 0.609 0.218 0.750 1
Pu2 Pu 0.391 0.782 0.250 1
Th2 Th 0.858 0.715 0.563 1
Th3 Th 0.142 0.285 0.063 1
Th4 Th 0.142 0.285 0.437 1
```

=====

## x
PuTh2Te4: relaxed, PBE.

Summary:
theoretical density	9.66	g/cm³
space-group type	I-42d (122)
N(E_F)	24.90	states/eV/cell

CIF file:
```
data_PuTh2Te4
_cell_length_a 8.164
_cell_length_b 8.164
_cell_length_c 8.164
_cell_angle_alpha 109.64
_cell_angle_beta 109.13
_cell_angle_gamma 109.64
_symmetry_space_group_name_H-M 'P 1'
_symmetry_Int_Tables_number 1
loop_
_symmetry_equiv_pos_as_xyz
'x,y,z'
loop_
_atom_site_label
_atom_site_type_symbol
_atom_site_fract_x
_atom_site_fract_y
_atom_site_fract_z
_atom_site_occupancy
Te1 Te 0.626 0.747 0.527 1
Th1 Th 0.492 0.367 0.625 1
Te2 Te 0.629 0.753 0.030 1
Te3 Te 0.121 0.901 0.374 1
Th2 Th 0.875 0.133 0.508 1
Te4 Te 0.124 0.401 0.371 1
Pu1 Pu 0.750 0.500 0.250 1
Pu2 Pu 0.000 0.000 0.000 1
Th3 Th 0.258 0.633 0.125 1
Th4 Th 0.375 0.867 0.742 1
Te5 Te 0.970 0.599 0.723 1
Te6 Te 0.277 0.247 0.876 1
Te7 Te 0.473 0.099 0.220 1
Te8 Te 0.780 0.253 0.879 1
```

=====

Q: What are the energies relative to the best structure? A: w 74; x 0, in meV/atom.

=====

## w
PuTh2Te3: relaxed, PBE.

Summary:
theoretical density	9.65	g/cm³
space-group type	I4/mmm (139)
N(E_F)	13.32	states/eV/cell

CIF file:
```
data_PuTh2Te3
_cell_length_a 4.454
_cell_length_b 4.454
_cell_length_c 9.969
_cell_angle_alpha 102.91
_cell_angle_beta 102.91
_cell_angle_gamma 90.00
_symmetry_space_group_name_H-M 'P 1'
_symmetry_Int_Tables_number 1
loop_
_symmetry_equiv_pos_as_xyz
'x,y,z'
loop_
_atom_site_label
_atom_site_type_symbol
_atom_site_fract_x
_atom_site_fract_y
_atom_site_fract_z
_atom_site_occupancy
Pu1 Pu 0.000 0.000 0.000 1
Te1 Te 0.837 0.837 0.674 1
Th1 Th 0.330 0.330 0.660 1
Te2 Te 0.500 0.500 0.000 1
Th2 Th 0.670 0.670 0.340 1
Te3 Te 0.163 0.163 0.326 1
```

=====

## x
PuTh2Te3: relaxed, PBE.

Summary:
theoretical density	8.99	g/cm³
space-group type	Cmmm (65)
N(E_F)	11.96	states/eV/cell

CIF file:
```
data_PuTh2Te3
_cell_length_a 4.065
_cell_length_b 6.238
_cell_length_c 8.540
_cell_angle_alpha 111.42
_cell_angle_beta 90.00
_cell_angle_gamma 90.00
_symmetry_space_group_name_H-M 'P 1'
_symmetry_Int_Tables_number 1
loop_
_symmetry_equiv_pos_as_xyz
'x,y,z'
loop_
_atom_site_label
_atom_site_type_symbol
_atom_site_fract_x
_atom_site_fract_y
_atom_site_fract_z
_atom_site_occupancy
Te1 Te 0.500 0.849 0.698 1
Te2 Te 0.000 0.500 0.000 1
Te3 Te 0.500 0.151 0.302 1
Th1 Th 0.500 0.348 0.697 1
Pu1 Pu 0.000 0.000 0.000 1
Th2 Th 0.500 0.652 0.303 1
```

=====

Q: What are the energies relative to the best structure? A: w 0; x 212, in meV/atom.

=====

## w
PuTlTe: relaxed, PBE.

Summary:
theoretical density	10.83	g/cm³
space-group type	I4mm (107)
N(E_F)	10.02	states/eV/cell

CIF file:
```
data_PuTlTe
_cell_length_a 3.908
_cell_length_b 3.908
_cell_length_c 6.409
_cell_angle_alpha 107.75
_cell_angle_beta 107.75
_cell_angle_gamma 90.00
_symmetry_space_group_name_H-M 'P 1'
_symmetry_Int_Tables_number 1
loop_
_symmetry_equiv_pos_as_xyz
'x,y,z'
loop_
_atom_site_label
_atom_site_type_symbol
_atom_site_fract_x
_atom_site_fract_y
_atom_site_fract_z
_atom_site_occupancy
Pu1 Pu 0.317 0.317 0.633 1
Tl1 Tl 0.002 0.002 0.004 1
Te1 Te 0.681 0.681 0.362 1
```

=====

## x
PuTlTe: relaxed, PBE.

Summary:
theoretical density	9.72	g/cm³
space-group type	R3m (160)
N(E_F)	10.04	states/eV/cell

CIF file:
```
data_PuTlTe
_cell_length_a 4.094
_cell_length_b 4.094
_cell_length_c 7.181
_cell_angle_alpha 73.44
_cell_angle_beta 73.44
_cell_angle_gamma 60.00
_symmetry_space_group_name_H-M 'P 1'
_symmetry_Int_Tables_number 1
loop_
_symmetry_equiv_pos_as_xyz
'x,y,z'
loop_
_atom_site_label
_atom_site_type_symbol
_atom_site_fract_x
_atom_site_fract_y
_atom_site_fract_z
_atom_site_occupancy
Tl1 Tl 0.332 0.332 0.005 1
Te1 Te 0.113 0.113 0.662 1
Pu1 Pu 0.541 0.541 0.377 1
```

=====

Q: What are the energies relative to the best structure? A: w 0; x 116, in meV/atom.

=====

## w
Pu2TlTe: relaxed, PBE.

Summary:
theoretical density	10.86	g/cm³
space-group type	R-3m (166)
N(E_F)	23.49	states/eV/cell

CIF file:
```
data_Pu2TlTe
_cell_length_a 4.076
_cell_length_b 4.076
_cell_length_c 9.026
_cell_angle_alpha 76.95
_cell_angle_beta 76.95
_cell_angle_gamma 60.00
_symmetry_space_group_name_H-M 'P 1'
_symmetry_Int_Tables_number 1
loop_
_symmetry_equiv_pos_as_xyz
'x,y,z'
loop_
_atom_site_label
_atom_site_type_symbol
_atom_site_fract_x
_atom_site_fract_y
_atom_site_fract_z
_atom_site_occupancy
Pu1 Pu 0.745 0.745 0.766 1
Tl1 Tl 0.500 0.500 0.500 1
Pu2 Pu 0.255 0.255 0.234 1
Te1 Te 0.000 0.000 0.000 1
```

=====

## x
Pu2TlTe: relaxed, PBE.

Summary:
theoretical density	12.35	g/cm³
space-group type	P4/mmm (123)
N(E_F)	16.41	states/eV/cell

CIF file:
```
data_Pu2TlTe
_cell_length_a 3.604
_cell_length_b 3.604
_cell_length_c 8.487
_cell_angle_alpha 90.00
_cell_angle_beta 90.00
_cell_angle_gamma 90.00
_symmetry_space_group_name_H-M 'P 1'
_symmetry_Int_Tables_number 1
loop_
_symmetry_equiv_pos_as_xyz
'x,y,z'
loop_
_atom_site_label
_atom_site_type_symbol
_atom_site_fract_x
_atom_site_fract_y
_atom_site_fract_z
_atom_site_occupancy
Tl1 Tl 0.500 0.500 0.500 1
Pu1 Pu 0.000 0.000 0.232 1
Pu2 Pu 0.000 0.000 0.768 1
Te1 Te 0.500 0.500 0.000 1
```

=====

Q: What are the energies relative to the best structure? A: w 99; x 0, in meV/atom.

=====

## w
Tm2PuTe4: relaxed, PBE.

Summary:
theoretical density	8.05	g/cm³
space-group type	I-42d (122)
N(E_F)	31.99	states/eV/cell

CIF file:
```
data_Tm2PuTe4
_cell_length_a 8.369
_cell_length_b 8.369
_cell_length_c 8.369
_cell_angle_alpha 108.53
_cell_angle_beta 111.37
_cell_angle_gamma 108.53
_symmetry_space_group_name_H-M 'P 1'
_symmetry_Int_Tables_number 1
loop_
_symmetry_equiv_pos_as_xyz
'x,y,z'
loop_
_atom_site_label
_atom_site_type_symbol
_atom_site_fract_x
_atom_site_fract_y
_atom_site_fract_z
_atom_site_occupancy
Te1 Te 0.250 0.290 0.911 1
Te2 Te 0.710 0.210 0.872 1
Pu1 Pu 0.750 0.500 0.250 1
Tm1 Tm 0.403 0.278 0.625 1
Tm2 Tm 0.875 0.222 0.597 1
Te3 Te 0.661 0.790 0.500 1
Tm3 Tm 0.375 0.778 0.653 1
Te4 Te 0.622 0.710 0.960 1
Te5 Te 0.500 0.161 0.290 1
Tm4 Tm 0.347 0.722 0.125 1
Te6 Te 0.128 0.839 0.339 1
Te7 Te 0.040 0.661 0.750 1
Te8 Te 0.089 0.339 0.378 1
Pu2 Pu 0.000 0.000 0.000 1
```

=====

## x
Tm2PuTe4: relaxed, PBE.

Summary:
theoretical density	8.04	g/cm³
space-group type	Cmcm (63)
N(E_F)	36.27	states/eV/cell

CIF file:
```
data_Tm2PuTe4
_cell_length_a 4.295
_cell_length_b 7.403
_cell_length_c 14.831
_cell_angle_alpha 90.00
_cell_angle_beta 90.00
_cell_angle_gamma 106.86
_symmetry_space_group_name_H-M 'P 1'
_symmetry_Int_Tables_number 1
loop_
_symmetry_equiv_pos_as_xyz
'x,y,z'
loop_
_atom_site_label
_atom_site_type_symbol
_atom_site_fract_x
_atom_site_fract_y
_atom_site_fract_z
_atom_site_occupancy
Tm1 Tm 0.134 0.268 0.433 1
Te1 Te 0.955 0.910 0.750 1
Tm2 Tm 0.866 0.732 0.567 1
Pu1 Pu 0.619 0.239 0.750 1
Tm3 Tm 0.134 0.268 0.067 1
Te2 Te 0.500 0.000 0.000 1
Te3 Te 0.774 0.549 0.120 1
Te4 Te 0.774 0.549 0.380 1
Tm4 Tm 0.866 0.732 0.933 1
Te5 Te 0.226 0.451 0.620 1
Te6 Te 0.500 0.000 0.500 1
Te7 Te 0.226 0.451 0.880 1
Te8 Te 0.045 0.090 0.250 1
Pu2 Pu 0.381 0.761 0.250 1
```

=====

Q: What are the energies relative to the best structure? A: w 44; x 0, in meV/atom.

=====

## w
TmPuTe2: relaxed, PBE.

Summary:
theoretical density	9.37	g/cm³
space-group type	R3m (160)
N(E_F)	9.37	states/eV/cell

CIF file:
```
data_TmPuTe2
_cell_length_a 4.191
_cell_length_b 4.191
_cell_length_c 8.156
_cell_angle_alpha 75.11
_cell_angle_beta 75.11
_cell_angle_gamma 60.00
_symmetry_space_group_name_H-M 'P 1'
_symmetry_Int_Tables_number 1
loop_
_symmetry_equiv_pos_as_xyz
'x,y,z'
loop_
_atom_site_label
_atom_site_type_symbol
_atom_site_fract_x
_atom_site_fract_y
_atom_site_fract_z
_atom_site_occupancy
Pu1 Pu 0.670 0.670 0.991 1
Te1 Te 0.248 0.248 0.256 1
Tm1 Tm 0.497 0.497 0.508 1
Te2 Te 0.085 0.085 0.745 1
```

=====

## x
TmPuTe2: relaxed, PBE.

Summary:
theoretical density	10.33	g/cm³
space-group type	Fm-3m (225)
N(E_F)	5.05	states/eV/cell

CIF file:
```
data_TmPuTe2
_cell_length_a 5.335
_cell_length_b 5.335
_cell_length_c 5.335
_cell_angle_alpha 60.00
_cell_angle_beta 60.00
_cell_angle_gamma 60.00
_symmetry_space_group_name_H-M 'P 1'
_symmetry_Int_Tables_number 1
loop_
_symmetry_equiv_pos_as_xyz
'x,y,z'
loop_
_atom_site_label
_atom_site_type_symbol
_atom_site_fract_x
_atom_site_fract_y
_atom_site_fract_z
_atom_site_occupancy
Tm1 Tm 0.500 0.500 0.500 1
Te1 Te 0.750 0.750 0.750 1
Te2 Te 0.250 0.250 0.250 1
Pu1 Pu 0.000 0.000 0.000 1
```

=====

Q: What are the energies relative to the best structure? A: w 0; x 94, in meV/atom.

=====

## w
TmPuTe2: relaxed, PBE.

Summary:
theoretical density	9.43	g/cm³
space-group type	R-3m (166)
N(E_F)	10.19	states/eV/cell

CIF file:
```
data_TmPuTe2
_cell_length_a 4.330
_cell_length_b 4.330
_cell_length_c 7.668
_cell_angle_alpha 73.60
_cell_angle_beta 73.60
_cell_angle_gamma 60.00
_symmetry_space_group_name_H-M 'P 1'
_symmetry_Int_Tables_number 1
loop_
_symmetry_equiv_pos_as_xyz
'x,y,z'
loop_
_atom_site_label
_atom_site_type_symbol
_atom_site_fract_x
_atom_site_fract_y
_atom_site_fract_z
_atom_site_occupancy
Te1 Te 0.247 0.247 0.260 1
Pu1 Pu 0.000 0.000 0.000 1
Tm1 Tm 0.500 0.500 0.500 1
Te2 Te 0.753 0.753 0.740 1
```

=====

## x
TmPuTe2: relaxed, PBE.

Summary:
theoretical density	10.33	g/cm³
space-group type	P4/mmm (123)
N(E_F)	7.15	states/eV/cell

CIF file:
```
data_TmPuTe2
_cell_length_a 3.762
_cell_length_b 3.762
_cell_length_c 7.586
_cell_angle_alpha 90.00
_cell_angle_beta 90.00
_cell_angle_gamma 90.00
_symmetry_space_group_name_H-M 'P 1'
_symmetry_Int_Tables_number 1
loop_
_symmetry_equiv_pos_as_xyz
'x,y,z'
loop_
_atom_site_label
_atom_site_type_symbol
_atom_site_fract_x
_atom_site_fract_y
_atom_site_fract_z
_atom_site_occupancy
Pu1 Pu 0.500 0.500 0.500 1
Tm1 Tm 0.500 0.500 0.000 1
Te1 Te 0.000 0.000 0.242 1
Te2 Te 0.000 0.000 0.758 1
```

=====

Q: What are the energies relative to the best structure? A: w 0; x 149, in meV/atom.

=====

## w
TmPu2Te4: relaxed, PBE.

Summary:
theoretical density	8.35	g/cm³
space-group type	Cmcm (63)
N(E_F)	49.52	states/eV/cell

CIF file:
```
data_TmPu2Te4
_cell_length_a 4.245
_cell_length_b 7.522
_cell_length_c 15.146
_cell_angle_alpha 90.00
_cell_angle_beta 90.00
_cell_angle_gamma 106.39
_symmetry_space_group_name_H-M 'P 1'
_symmetry_Int_Tables_number 1
loop_
_symmetry_equiv_pos_as_xyz
'x,y,z'
loop_
_atom_site_label
_atom_site_type_symbol
_atom_site_fract_x
_atom_site_fract_y
_atom_site_fract_z
_atom_site_occupancy
Pu1 Pu 0.135 0.270 0.431 1
Tm1 Tm 0.378 0.756 0.250 1
Tm2 Tm 0.622 0.244 0.750 1
Te1 Te 0.030 0.060 0.250 1
Pu2 Pu 0.865 0.730 0.569 1
Te2 Te 0.218 0.435 0.626 1
Te3 Te 0.218 0.435 0.874 1
Te4 Te 0.500 0.000 0.000 1
Te5 Te 0.782 0.565 0.374 1
Te6 Te 0.782 0.565 0.126 1
Pu3 Pu 0.865 0.730 0.931 1
Pu4 Pu 0.135 0.270 0.069 1
Te7 Te 0.500 0.000 0.500 1
Te8 Te 0.970 0.940 0.750 1
```

=====

## x
TmPu2Te4: relaxed, PBE.

Summary:
theoretical density	7.91	g/cm³
space-group type	C2/m (12)
N(E_F)	24.64	states/eV/cell

CIF file:
```
data_TmPu2Te4
_cell_length_a 4.392
_cell_length_b 8.407
_cell_length_c 7.776
_cell_angle_alpha 63.25
_cell_angle_beta 89.98
_cell_angle_gamma 74.84
_symmetry_space_group_name_H-M 'P 1'
_symmetry_Int_Tables_number 1
loop_
_symmetry_equiv_pos_as_xyz
'x,y,z'
loop_
_atom_site_label
_atom_site_type_symbol
_atom_site_fract_x
_atom_site_fract_y
_atom_site_fract_z
_atom_site_occupancy
Pu1 Pu 0.264 0.473 0.273 1
Tm1 Tm 0.000 0.000 0.000 1
Te1 Te 0.628 0.745 0.976 1
Te2 Te 0.372 0.255 0.024 1
Pu2 Pu 0.736 0.527 0.727 1
Te3 Te 0.118 0.764 0.436 1
Te4 Te 0.882 0.236 0.564 1
```

=====

Q: What are the energies relative to the best structure? A: w 26; x 0, in meV/atom.